A plane-wave DFT calculation with PBE was carried out for a relaxed structure of ScW2Cl.

Output
For the total energy, the calculation gives -8.05 eV per atom. The calculation puts the excess energy over the best structure of this formula in the dataset at 0.573 eV per atom. Its magnetic moment is 0.00 μB/cell. The value obtained for the uncorrected formation energy is 0.4715 eV/atom.

Unit cell a=6.0039 b=6.0039 c=6.0039 alpha=144.52 beta=144.52 gamma=51.04
Positions (direct):
1 Sc 0.0000 0.0000 0.0000
2 W 0.2500 0.7500 0.5000
3 W 0.7500 0.2500 0.5000
4 Cl 0.5000 0.5000 0.0000

---

A plane-wave DFT calculation with PBE was carried out for a relaxed structure of Ag6Pt5.

Output
For the total energy, the calculation gives -4.31 eV per atom. The calculation puts the excess energy over the best structure of this formula in the dataset at 0.000 eV per atom. The calculation puts the formation energy at -0.005 eV/atom. Its magnetic moment is 0.00 μB/cell.

Unit cell a=9.6921 b=9.6921 c=7.0295 alpha=104.29 beta=104.29 gamma=16.73
Positions (direct):
1 Ag 0.0935 0.0935 0.2183
2 Ag 0.1814 0.1814 0.9580
3 Ag 0.3651 0.3651 0.4101
4 Ag 0.6349 0.6349 0.5899
5 Ag 0.8186 0.8186 0.0420
6 Ag 0.9065 0.9065 0.7817
7 Pt 0.0000 0.0000 0.5000
8 Pt 0.2696 0.2696 0.6717
9 Pt 0.4606 0.4606 0.1527
10 Pt 0.5394 0.5394 0.8473
11 Pt 0.7304 0.7304 0.3283

---

A plane-wave DFT calculation with PBE was carried out for a relaxed structure of ReTc3W.

Output
For the total energy, the calculation gives -9.27 eV per atom. The calculation puts the excess energy over the best structure of this formula in the dataset at 1.946 eV per atom. The calculation puts the formation energy at 2.035 eV/atom. Its magnetic moment is 0.01 μB/cell.

Unit cell a=4.5996 b=4.5996 c=4.5996 alpha=90.00 beta=90.00 gamma=90.00
Positions (direct):
1 Re 0.0000 0.0000 0.0000
2 Tc 0.0000 0.0000 0.5000
3 Tc 0.0000 0.5000 0.0000
4 Tc 0.5000 0.0000 0.0000
5 W 0.5000 0.5000 0.5000

---

A plane-wave DFT calculation with PBE was carried out for a relaxed structure of Hf6Co5.

Output
For the total energy, the calculation gives -8.98 eV per atom. The calculation puts the formation energy at -0.320 eV/atom. Its magnetic moment is 1.51 μB/cell.

Unit cell a=7.6478 b=7.6478 c=7.6478 alpha=146.51 beta=131.42 gamma=60.30
Positions (direct):
1 Hf 0.0831 0.3358 0.7473
2 Hf 0.2463 0.0000 0.2463
3 Hf 0.4116 0.6642 0.7473
4 Hf 0.5884 0.3358 0.2527
5 Hf 0.7537 0.0000 0.7537
6 Hf 0.9169 0.6642 0.2527
7 Co 0.1717 0.1717 0.0000
8 Co 0.3322 0.8322 0.5000
9 Co 0.5000 0.5000 0.0000
10 Co 0.6678 0.1678 0.5000
11 Co 0.8283 0.8283 0.0000

---

A plane-wave DFT calculation with PBE was carried out for a relaxed structure of LiMgSc4.

Output
For the total energy, the calculation gives -4.49 eV per atom. The calculation puts the formation energy at 0.314 eV/atom. Its magnetic moment is 0.00 μB/cell.

Unit cell a=5.9972 b=5.9972 c=5.9972 alpha=60.00 beta=60.00 gamma=60.00
Positions (direct):
1 Li 0.0000 0.0000 0.0000
2 Mg 0.7500 0.7500 0.7500
3 Sc 0.3759 0.3759 0.3759
4 Sc 0.3759 0.3759 0.8723
5 Sc 0.3759 0.8723 0.3759
6 Sc 0.8723 0.3759 0.3759

---

A plane-wave DFT calculation with PBE was carried out for a relaxed structure of Ac2LaSmEr.

Output
For the total energy, the calculation gives -4.24 eV per atom. The calculation puts the formation energy at 0.243 eV/atom. Its magnetic moment is 0.00 μB/cell.

Unit cell a=6.5096 b=8.9110 c=6.8145 alpha=90.00 beta=90.00 gamma=90.00
Positions (direct):
1 Ac 0.2500 0.2060 0.2151
2 Ac 0.2500 0.7940 0.2151
3 Ac 0.7500 0.2060 0.7849
4 Ac 0.7500 0.7940 0.7849
5 La 0.2500 0.5000 0.9199
6 La 0.7500 0.5000 0.0801
7 Sm 0.2500 0.0000 0.6868
8 Sm 0.7500 0.0000 0.3132
9 Er 0.0000 0.5000 0.5000
10 Er 0.5000 0.5000 0.5000

---

A plane-wave DFT calculation with PBE was carried out for a relaxed structure of Sm4Dy3Mg2.

Output
For the total energy, the calculation gives -3.98 eV per atom. The calculation puts the formation energy at 0.007 eV/atom. Its magnetic moment is 0.00 μB/cell.

Unit cell a=7.9216 b=7.9216 c=7.7896 alpha=107.79 beta=107.79 gamma=36.92
Positions (direct):
1 Sm 0.0537 0.0537 0.3307
2 Sm 0.2780 0.2780 0.6721
3 Sm 0.7220 0.7220 0.3279
4 Sm 0.9463 0.9463 0.6693
5 Dy 0.3884 0.3884 0.3311
6 Dy 0.5000 0.5000 0.0000
7 Dy 0.6116 0.6116 0.6689
8 Mg 0.1684 0.1684 0.9988
9 Mg 0.8316 0.8316 0.0012

---

A plane-wave DFT calculation with PBE was carried out for a relaxed structure of Co2SnHPt.

Output
For the total energy, the calculation gives -5.60 eV per atom. Its magnetic moment is 1.12 μB/cell.

Unit cell a=3.9104 b=3.9104 c=3.8377 alpha=90.00 beta=90.00 gamma=90.00
Positions (direct):
1 Co 0.0000 0.5000 0.0000
2 Co 0.5000 0.0000 0.0000
3 Sn 0.0000 0.0000 0.5000
4 H 0.5000 0.5000 0.0000
5 Pt 0.5000 0.5000 0.5000

---

A plane-wave DFT calculation with PBE was carried out for a relaxed structure of BaNbO.

Output
For the total energy, the calculation gives -6.26 eV per atom. Its magnetic moment is 0.04 μB/cell. The value obtained for the uncorrected formation energy is -0.6083 eV/atom.

Unit cell a=12.6391 b=3.3577 c=3.3577 alpha=60.04 beta=90.00 gamma=90.00
Positions (direct):
1 Ba 0.1402 0.0000 0.0000
2 Ba 0.8598 0.0000 0.0000
3 Nb 0.3951 0.6647 0.6647
4 Nb 0.6049 0.6647 0.6647
5 O 0.0000 0.6665 0.6665
6 O 0.5000 0.9982 0.9982

---

A plane-wave DFT calculation with PBE was carried out for a relaxed structure of Er6Te3Pb.

Output
For the total energy, the calculation gives -4.84 eV per atom. Its magnetic moment is 0.00 μB/cell. The value obtained for the uncorrected formation energy is -0.7872 eV/atom.

Unit cell a=12.1403 b=4.0524 c=12.5034 alpha=90.00 beta=104.30 gamma=90.00
Positions (direct):
1 Er 0.0123 0.2500 0.3526
2 Er 0.0800 0.2500 0.8806
3 Er 0.2487 0.7500 0.2970
4 Er 0.2874 0.7500 0.7632
5 Er 0.3762 0.2500 0.5397
6 Er 0.4555 0.7500 0.1231
7 Er 0.5445 0.2500 0.8769
8 Er 0.6238 0.7500 0.4603
9 Er 0.7126 0.2500 0.2368
10 Er 0.7513 0.2500 0.7030
11 Er 0.9200 0.7500 0.1194
12 Er 0.9877 0.7500 0.6474
13 Te 0.1106 0.2500 0.1380
14 Te 0.1713 0.7500 0.5120
15 Te 0.3340 0.2500 0.9560
16 Te 0.6660 0.7500 0.0440
17 Te 0.8287 0.2500 0.4880
18 Te 0.8894 0.7500 0.8620
19 Pb 0.4543 0.2500 0.3140
20 Pb 0.5457 0.7500 0.6860